DFT (PBE) results for an optimized crystal structure of Zr3AuN.

The space group is C2/m (No. 12) and the conventional cell measures 10.5567, 4.5946 and 8.1227 Å, with angles of 90.00, 114.35 and 90.00 degrees. Symmetry generates all atoms from Zr at (0.1114, 0.0000, 0.1959), Zr at (0.1415, 0.5000, 0.9326), Zr at (0.1429, 0.0000, 0.6599), Au at (0.1084, 0.5000, 0.4294) and N at (0.1197, 0.0000, 0.9220).

The total magnetization is 0.0 μB per formula unit. As for the uncorrected formation energy: -4.69 eV/f.u.